This record from Alexandria via LeMat-Bulk describes crystalline TiFe2N at its relaxed geometry. The functional is GGA-PBE.

Structure (POSCAR):
```
TiFe2N
1.0
-4.225 2.570 -3.994
-3.062 -5.561 -0.338
-4.896 -0.909 -0.465
N Ti Fe
2 2 4
Direct
0.250 0.750 0.500
0.500 0.500 0.000
0.750 0.250 0.500
0.000 0.000 0.000
0.375 0.505 0.750
0.495 0.125 0.250
0.255 0.625 0.250
0.875 0.745 0.750
```

- Magnetic moment: 0.593 μB/f.u.
- Formation energy without anion corrections: -0.23 eV per atom
- Calculated volume: 89 Å³/cell